Record 1
# AsS5 PBE optimized geometry
data_AsS5
_chemical_formula_sum 'As1 S5'
_space_group_name_H-M_alt 'P 1'
_space_group_IT_number 1
_cell_length_a 4.7032
_cell_length_b 6.0926
_cell_length_c 7.0509
_cell_angle_alpha 104.81
_cell_angle_beta 106.08
_cell_angle_gamma 104.16
loop_
_space_group_symop_operation_xyz
'x,y,z'
loop_
_atom_site_label
_atom_site_fract_x
_atom_site_fract_y
_atom_site_fract_z
As1 0.0000 0.0000 0.0000
S1 0.1783 0.5879 0.6892
S2 0.3734 0.9160 0.6984
S3 0.5462 0.1989 0.2471
S4 0.7705 0.9572 0.2479
S5 0.9651 0.6093 0.9190
# Crystal system = triclinic
# Density of states at the Fermi level = 2.945 states/eV/f.u.
# Density = 2213 kg/m3
# DFT total energy = -4.119 eV per atom

Record 2
# TlGaAs2 PBE optimized geometry
data_TlGaAs2
_chemical_formula_sum 'Tl1 Ga1 As2'
_space_group_name_H-M_alt 'P 1'
_space_group_IT_number 1
_cell_length_a 5.0091
_cell_length_b 5.0091
_cell_length_c 5.0091
_cell_angle_alpha 60.00
_cell_angle_beta 60.00
_cell_angle_gamma 60.00
loop_
_space_group_symop_operation_xyz
'x,y,z'
loop_
_atom_site_label
_atom_site_fract_x
_atom_site_fract_y
_atom_site_fract_z
Tl1 0.0000 0.0000 0.0000
Ga1 0.5000 0.5000 0.5000
As1 0.2500 0.2500 0.2500
As2 0.7500 0.7500 0.7500
# Calculated formation energy = 0.32 eV/atom
# Crystal system = cubic
# Density of states at the Fermi level = 3.022 states/eV/f.u.
# Distance to the lowest polymorph of the same formula = 0.426 eV per atom
# Density = 7921 kg/m3
# DFT total energy = -3.358 eV per atom

Q: Among the records above, which one has the highest density?
A: TlGaAs2

Q: Look up the DFT total energy of the first one.
A: -4.119 eV per atom